[1]
Ac3YMg2 (PBE, optimized geometry); symmetry = No. 123; total moment = 0.00 Bohr magnetons per cell; ΔE_f = -0.0286 eV per atom
1.0
4.073 0.000 0.000
0.000 4.073 0.000
0.000 0.000 13.122
Ac Y Mg
3 1 2
Direct
0.000 0.000 0.000
0.000 0.000 0.316
0.000 0.000 0.684
0.500 0.500 0.500
0.500 0.500 0.160
0.500 0.500 0.840

[2]
AcY2Mg (PBE, optimized geometry); symmetry = No. 160; total moment = 0.00 Bohr magnetons per cell; ΔE_f = 0.0761 eV per atom; relative energy among the computed polymorphs = 0.0968 eV/atom
1.0
3.706 0.000 0.000
-1.853 3.210 0.000
0.000 0.000 34.091
Ac Y Mg
3 6 3
Direct
0.000 0.000 0.000
0.333 0.667 0.667
0.667 0.333 0.333
0.000 0.000 0.574
0.000 0.000 0.758
0.333 0.667 0.241
0.333 0.667 0.425
0.667 0.333 0.091
0.667 0.333 0.908
0.000 0.000 0.166
0.333 0.667 0.833
0.667 0.333 0.499

[3]
Ac2YMg5 (PBE, optimized geometry); symmetry = No. 139; total moment = 0.00 Bohr magnetons per cell; ΔE_f = -0.0499 eV per atom
1.0
5.410 0.000 0.000
0.000 5.410 0.000
0.000 0.000 16.338
Ac Y Mg
4 2 10
Direct
0.000 0.000 0.241
0.000 0.000 0.759
0.500 0.500 0.259
0.500 0.500 0.741
0.000 0.000 0.500
0.500 0.500 0.000
0.000 0.000 0.000
0.000 0.500 0.106
0.000 0.500 0.394
0.000 0.500 0.606
0.000 0.500 0.894
0.500 0.000 0.106
0.500 0.000 0.394
0.500 0.000 0.606
0.500 0.000 0.894
0.500 0.500 0.500

[4]
Ac8Y2Mg (PBE, optimized geometry); symmetry = No. 71; total moment = 0.00 Bohr magnetons per cell; ΔE_f = 0.1289 eV per atom
1.0
-2.918 4.811 8.250
2.918 -4.811 8.250
2.918 4.811 -8.250
Ac Y Mg
8 2 1
Direct
0.129 0.344 0.785
0.146 0.146 0.000
0.313 0.000 0.313
0.441 0.656 0.785
0.559 0.344 0.215
0.687 0.000 0.687
0.854 0.854 0.000
0.871 0.656 0.215
0.300 0.800 0.500
0.700 0.200 0.500
0.000 0.500 0.500

[5]
Ac4YMg5 (PBE, optimized geometry); symmetry = No. 123; total moment = 0.00 Bohr magnetons per cell; ΔE_f = -0.0787 eV per atom
1.0
4.053 0.000 0.000
0.000 4.053 0.000
0.000 0.000 20.277
Ac Y Mg
4 1 5
Direct
0.000 0.000 0.104
0.000 0.000 0.310
0.000 0.000 0.690
0.000 0.000 0.896
0.000 0.000 0.500
0.500 0.500 0.000
0.500 0.500 0.206
0.500 0.500 0.416
0.500 0.500 0.584
0.500 0.500 0.794

[6]
AcYMgZn (PBE, optimized geometry); symmetry = No. 216; total moment = 0.00 Bohr magnetons per cell; ΔE_f = -0.1245 eV per atom
1.0
7.718 0.000 0.000
0.000 7.718 0.000
0.000 0.000 7.718
Ac Y Mg Zn
4 4 4 4
Direct
0.000 0.000 0.000
0.000 0.500 0.500
0.500 0.000 0.500
0.500 0.500 0.000
0.000 0.000 0.500
0.000 0.500 0.000
0.500 0.000 0.000
0.500 0.500 0.500
0.250 0.250 0.750
0.250 0.750 0.250
0.750 0.250 0.250
0.750 0.750 0.750
0.250 0.250 0.250
0.250 0.750 0.750
0.750 0.250 0.750
0.750 0.750 0.250

[7]
Ac2MgZn3 (PBE, optimized geometry); symmetry = No. 69; total moment = 0.00 Bohr magnetons per cell; ΔE_f = -0.2058 eV per atom
1.0
0.000 4.876 8.420
3.897 0.000 8.420
3.897 4.876 0.000
Ac Mg Zn
4 2 6
Direct
0.242 0.758 0.758
0.250 0.250 0.250
0.750 0.750 0.750
0.758 0.242 0.242
0.334 0.334 0.666
0.666 0.666 0.334
0.164 0.164 0.836
0.165 0.671 0.329
0.329 0.835 0.165
0.671 0.165 0.835
0.835 0.329 0.671
0.836 0.836 0.164

[8]
Ac4Mg5Zn2 (PBE, optimized geometry); symmetry = No. 10; total moment = 0.00 Bohr magnetons per cell; ΔE_f = -0.0676 eV per atom
1.0
8.310 0.000 0.000
0.000 3.928 0.000
-0.785 0.000 10.611
Ac Mg Zn
4 5 2
Direct
0.161 0.000 0.367
0.252 0.000 0.947
0.748 0.000 0.053
0.839 0.000 0.633
0.200 0.500 0.662
0.440 0.500 0.203
0.500 0.500 0.500
0.560 0.500 0.797
0.800 0.500 0.338
0.057 0.500 0.131
0.943 0.500 0.869

[9]
AcMg4Zn2 (PBE, optimized geometry); symmetry = No. 65; total moment = 0.00 Bohr magnetons per cell; ΔE_f = -0.1764 eV per atom; relative energy among the computed polymorphs = 0.0000 eV/atom
1.0
4.417 0.000 0.000
0.000 16.435 0.000
0.000 0.000 4.631
Ac Mg Zn
2 8 4
Direct
0.000 0.000 0.000
0.500 0.500 0.000
0.000 0.181 0.500
0.000 0.320 0.000
0.000 0.680 0.000
0.000 0.819 0.500
0.500 0.180 0.000
0.500 0.319 0.500
0.500 0.681 0.500
0.500 0.820 0.000
0.000 0.422 0.500
0.000 0.578 0.500
0.500 0.078 0.500
0.500 0.922 0.500

[10]
Ac8Mg2Zn (PBE, optimized geometry); symmetry = No. 12; total moment = 0.00 Bohr magnetons per cell; ΔE_f = -0.0046 eV per atom
1.0
10.062 -2.898 0.000
10.062 2.898 0.000
-1.871 0.000 7.358
Ac Mg Zn
8 2 1
Direct
0.020 0.020 0.273
0.202 0.202 0.795
0.344 0.344 0.538
0.407 0.407 0.050
0.593 0.593 0.950
0.656 0.656 0.462
0.798 0.798 0.205
0.980 0.980 0.727
0.188 0.188 0.232
0.812 0.812 0.768
0.500 0.500 0.500

[11]
Ac3MgZn2 (PBE, optimized geometry); symmetry = No. 123; total moment = 0.00 Bohr magnetons per cell; ΔE_f = -0.1849 eV per atom
1.0
3.962 0.000 0.000
0.000 3.962 0.000
0.000 0.000 12.055
Ac Mg Zn
3 1 2
Direct
0.000 0.000 0.000
0.000 0.000 0.317
0.000 0.000 0.683
0.500 0.500 0.500
0.500 0.500 0.163
0.500 0.500 0.837

[12]
AcMgZn (PBE, optimized geometry); symmetry = No. 187; total moment = 0.00 Bohr magnetons per cell; ΔE_f = -0.1502 eV per atom; relative energy among the computed polymorphs = 0.0751 eV/atom
1.0
5.034 0.000 0.000
-2.517 4.359 0.000
0.000 0.000 3.846
Ac Mg Zn
1 1 1
Direct
0.000 0.000 0.000
0.333 0.667 0.500
0.667 0.333 0.500

[13]
Ac4Mg2Zn (PBE, optimized geometry); symmetry = No. 139; total moment = 0.00 Bohr magnetons per cell; ΔE_f = 0.0131 eV per atom
1.0
8.068 0.000 0.000
0.000 8.068 0.000
0.000 0.000 8.006
Ac Mg Zn
8 4 2
Direct
0.250 0.250 0.250
0.250 0.250 0.750
0.250 0.750 0.250
0.250 0.750 0.750
0.750 0.250 0.250
0.750 0.250 0.750
0.750 0.750 0.250
0.750 0.750 0.750
0.000 0.500 0.000
0.000 0.500 0.500
0.500 0.000 0.000
0.500 0.000 0.500
0.000 0.000 0.000
0.500 0.500 0.500

[14]
AcMg6Zn6 (PBE, optimized geometry); symmetry = No. 71; total moment = 0.00 Bohr magnetons per cell; ΔE_f = -0.1643 eV per atom
1.0
-2.786 4.797 4.836
2.786 -4.797 4.836
2.786 4.797 -4.836
Ac Mg Zn
1 6 6
Direct
0.000 0.000 0.000
0.207 0.500 0.707
0.349 0.349 0.000
0.351 0.000 0.351
0.649 0.000 0.649
0.651 0.651 0.000
0.793 0.500 0.293
0.000 0.000 0.500
0.000 0.500 0.000
0.225 0.725 0.500
0.500 0.000 0.000
0.500 0.500 0.500
0.775 0.275 0.500

[15]
AcMg2Zn2 (PBE, optimized geometry); symmetry = No. 139; total moment = 0.00 Bohr magnetons per cell; ΔE_f = -0.2268 eV per atom
1.0
4.467 0.000 0.000
0.000 4.467 0.000
0.000 0.000 12.318
Ac Mg Zn
2 4 4
Direct
0.000 0.000 0.000
0.500 0.500 0.500
0.000 0.500 0.250
0.000 0.500 0.750
0.500 0.000 0.250
0.500 0.000 0.750
0.000 0.000 0.394
0.000 0.000 0.606
0.500 0.500 0.106
0.500 0.500 0.894

[16]
Ac3Mg8Zn3 (PBE, optimized geometry); symmetry = No. 71; total moment = 0.00 Bohr magnetons per cell; ΔE_f = -0.0839 eV per atom
1.0
-2.456 5.435 7.017
2.456 -5.435 7.017
2.456 5.435 -7.017
Ac Mg Zn
3 8 3
Direct
0.000 0.000 0.000
0.325 0.325 0.000
0.675 0.675 0.000
0.029 0.674 0.354
0.178 0.890 0.287
0.320 0.674 0.646
0.397 0.110 0.287
0.603 0.890 0.713
0.680 0.326 0.354
0.822 0.110 0.713
0.971 0.326 0.646
0.272 0.500 0.772
0.500 0.000 0.500
0.728 0.500 0.228

[17]
Ac3Mg2Zn9 (PBE, optimized geometry); symmetry = No. 71; total moment = 0.00 Bohr magnetons per cell; ΔE_f = -0.2704 eV per atom
1.0
-2.340 4.646 7.126
2.340 -4.646 7.126
2.340 4.646 -7.126
Ac Mg Zn
3 2 9
Direct
0.000 0.000 0.000
0.291 0.291 0.000
0.709 0.709 0.000
0.317 0.500 0.817
0.683 0.500 0.183
0.017 0.660 0.358
0.142 0.862 0.280
0.302 0.660 0.642
0.419 0.138 0.280
0.500 0.000 0.500
0.581 0.862 0.720
0.698 0.340 0.358
0.858 0.138 0.720
0.983 0.340 0.642

[18]
Ac2MgZn9 (PBE, optimized geometry); symmetry = No. 166; total moment = 0.00 Bohr magnetons per cell; ΔE_f = -0.0861 eV per atom
1.0
2.848 1.644 8.864
-2.848 1.644 8.864
0.000 -3.288 8.864
Ac Mg Zn
2 1 9
Direct
0.138 0.138 0.138
0.862 0.862 0.862
0.000 0.000 0.000
0.075 0.579 0.579
0.335 0.335 0.335
0.421 0.421 0.925
0.421 0.925 0.421
0.500 0.500 0.500
0.579 0.075 0.579
0.579 0.579 0.075
0.665 0.665 0.665
0.925 0.421 0.421

[19]
AcMg4Zn2 (PBE, optimized geometry); symmetry = No. 136; total moment = 0.00 Bohr magnetons per cell; ΔE_f = -0.1664 eV per atom; relative energy among the computed polymorphs = 0.0100 eV/atom
1.0
8.499 0.000 0.000
0.000 8.499 0.000
0.000 0.000 4.593
Ac Mg Zn
2 8 4
Direct
0.000 0.000 0.000
0.500 0.500 0.500
0.089 0.340 0.500
0.160 0.589 0.000
0.340 0.089 0.500
0.411 0.840 0.000
0.589 0.160 0.000
0.660 0.911 0.500
0.840 0.411 0.000
0.911 0.660 0.500
0.217 0.783 0.500
0.283 0.283 0.000
0.717 0.717 0.000
0.783 0.217 0.500

[20]
Ac2Mg3Zn4 (PBE, optimized geometry); symmetry = No. 64; total moment = 0.00 Bohr magnetons per cell; ΔE_f = -0.1698 eV per atom
1.0
3.195 -8.459 0.000
3.195 8.459 0.000
0.000 0.000 8.096
Ac Mg Zn
4 6 8
Direct
0.108 0.892 0.908
0.392 0.608 0.408
0.608 0.392 0.592
0.892 0.108 0.092
0.000 0.000 0.500
0.026 0.474 0.750
0.474 0.026 0.250
0.500 0.500 0.000
0.526 0.974 0.750
0.974 0.526 0.250
0.172 0.828 0.516
0.191 0.309 0.750
0.309 0.191 0.250
0.328 0.672 0.016
0.672 0.328 0.984
0.691 0.809 0.750
0.809 0.691 0.250
0.828 0.172 0.484